Material: CsCaGa2F8
Method: DFT, PBE
State: optimized geometry

Lattice parameters (Å, degrees): 5.7830 5.7830 8.7377 70.68 70.68 60.00
Sites, in units of the cell vectors:
F (0.3925, 0.7410, 0.8395)
F (0.6075, 0.2590, 0.1605)
F (0.1869, 0.1869, 0.4393)
F (0.8131, 0.8131, 0.5607)
F (0.9730, 0.6075, 0.1605)
F (0.0270, 0.3925, 0.8395)
F (0.7410, 0.0270, 0.8395)
F (0.2590, 0.9730, 0.1605)
Ga (0.2623, 0.2623, 0.2132)
Ga (0.7377, 0.7377, 0.7868)
Ca (0.0000, 0.0000, 0.0000)
Cs (0.5000, 0.5000, 0.5000)

Output
Formation energy without anion corrections: -33.3 eV/f.u.
D(E_F): 2.4 states/eV/cell